Density functional theory data (PBE) for TlPb5S6 after structural relaxation.

a b c (Å): 7.311 7.328 7.337
angles (deg): 60.04 80.49 70.67
Atoms (fractional coordinates):
Pb  0.500  0.500  0.000
Pb  0.000  0.334  0.332
Pb  0.500  0.168  0.663
Pb  0.000  0.666  0.668
Pb  0.500  0.832  0.337
Tl  0.000  0.000  0.000
S  0.255  0.915  0.660
S  0.745  0.085  0.340
S  0.255  0.575  0.340
S  0.749  0.744  0.000
S  0.745  0.425  0.660
S  0.251  0.256  0.000

Electronic total energy: -4.27 eV/atom
Energy relative to the elements, uncorrected: -467 meV per atom
Space-group type: C2/m, No. 12